Entry 1
The following is a PBE calculation of a relaxed CeTm2Ga crystal, from Alexandria.

```
CeTm2Ga
1.0
0.0000 3.6683 3.6683
3.6683 0.0000 3.6683
3.6683 3.6683 0.0000
Ce Tm Ga
1 2 1
Cartesian
0.0000 0.0000 0.0000
1.8342 1.8342 1.8342
5.5025 5.5025 5.5025
3.6683 3.6683 3.6683
```

Output
The value obtained for the density of states at the Fermi level is 5.40 states/eV/cell.


Entry 2
The following is a PBE calculation of a relaxed CeTm2Ga crystal, from Alexandria.

```
CeTm2Ga
1.0
2.4482 1.4135 5.4884
-2.4482 1.4135 5.4884
0.0000 -2.8269 5.4884
Ce Tm Ga
1 2 1
Cartesian
0.0000 0.0000 0.0000
0.0000 0.0000 9.1856
0.0000 0.0000 12.9249
0.0000 0.0000 3.2694
```

Output
The value obtained for the density of states at the Fermi level is 9.99 states/eV/cell.


Stability, lowest: entry 2


Entry 1
The following is a PBE calculation of a relaxed Ce2UGa crystal, from Alexandria.

```
Ce2UGa
1.0
1.5298 0.8833 11.2136
-1.5298 0.8833 11.2136
0.0000 -1.7665 11.2136
Ce U Ga
2 1 1
Cartesian
0.0000 0.0000 8.2770
0.0000 0.0000 25.3637
0.0000 0.0000 0.0000
0.0000 0.0000 16.8204
```

Output
The value obtained for the density of states at the Fermi level is 10.34 states/eV/cell.


Entry 2
The following is a PBE calculation of a relaxed Ce2UGa crystal, from Alexandria.

```
Ce2UGa
1.0
4.6121 0.0000 0.0000
0.0000 4.6121 0.0000
0.0000 0.0000 4.4229
Ce U Ga
2 1 1
Cartesian
0.0000 2.3060 0.0000
2.3060 0.0000 0.0000
0.0000 0.0000 2.2114
2.3060 2.3060 2.2114
```

Output
The value obtained for the density of states at the Fermi level is 11.39 states/eV/cell.


Entry 3
The following is a PBE calculation of a relaxed Ce2UGa crystal, from Alexandria.

```
Ce2UGa
1.0
0.0000 3.6175 3.6175
3.6175 0.0000 3.6175
3.6175 3.6175 0.0000
Ce U Ga
2 1 1
Cartesian
1.8088 1.8088 1.8088
5.4263 5.4263 5.4263
0.0000 0.0000 0.0000
3.6175 3.6175 3.6175
```

Output
The value obtained for the density of states at the Fermi level is 13.71 states/eV/cell.


Entry 4
The following is a PBE calculation of a relaxed Ce2UGa crystal, from Alexandria.

```
Ce2UGa
1.0
3.7403 0.0000 0.0000
0.0000 3.7403 0.0000
0.0000 0.0000 6.6713
Ce U Ga
2 1 1
Cartesian
0.0000 0.0000 1.6324
0.0000 0.0000 5.0390
1.8701 1.8701 3.3357
1.8701 1.8701 0.0000
```

Output
The value obtained for the density of states at the Fermi level is 11.54 states/eV/cell.


Stability, lowest: entry 3


Entry 1
The following is a PBE calculation of a relaxed Ce2YGa crystal, from Alexandria.

```
Ce2YGa
1.0
4.3756 0.0000 0.0000
0.0000 4.2788 0.0000
-2.0225 0.0000 10.9819
Ce Y Ga
4 2 2
Cartesian
-0.1856 1.0697 1.3369
-0.0474 1.0697 9.6069
2.4005 3.2091 1.3751
2.5387 3.2091 9.6450
0.1005 3.2091 6.6121
2.2525 1.0697 4.3698
0.1081 3.2091 3.6169
2.2450 1.0697 7.3650
```

Output
The value obtained for the density of states at the Fermi level is 12.68 states/eV/cell.


Entry 2
The following is a PBE calculation of a relaxed Ce2YGa crystal, from Alexandria.

```
Ce2YGa
1.0
3.9008 0.0000 0.0000
0.0000 3.9008 0.0000
0.0000 0.0000 7.2478
Ce Y Ga
2 1 1
Cartesian
0.0000 0.0000 1.3893
0.0000 0.0000 5.8586
1.9504 1.9504 3.6239
1.9504 1.9504 0.0000
```

Output
The value obtained for the density of states at the Fermi level is 9.54 states/eV/cell.


Entry 3
The following is a PBE calculation of a relaxed Ce2YGa crystal, from Alexandria.

```
Ce2YGa
1.0
4.4468 0.0000 0.0000
0.0000 4.4468 0.0000
0.0000 0.0000 5.1033
Ce Y Ga
2 1 1
Cartesian
0.0000 2.2234 0.0000
2.2234 0.0000 0.0000
0.0000 0.0000 2.5517
2.2234 2.2234 2.5517
```

Output
The value obtained for the density of states at the Fermi level is 8.49 states/eV/cell.


Stability, lowest: entry 2


Entry 1
The following is a PBE calculation of a relaxed CeY2Ga6 crystal, from Alexandria.

```
CeY2Ga6
1.0
-2.1709 3.5797 6.5929
2.1709 -3.5797 6.5929
2.1709 3.5797 -6.5929
Ce Y Ga
1 2 6
Cartesian
0.0000 0.0000 0.0000
2.1709 0.0000 4.9292
0.0000 3.5797 1.6636
2.1709 1.3932 -2.4306
2.1709 2.2681 0.0000
2.1709 1.3932 2.4306
0.0000 2.1864 4.1623
0.0000 1.3115 6.5929
0.0000 2.1864 9.0234
```

Output
The value obtained for the density of states at the Fermi level is 10.05 states/eV/cell.


Entry 2
The following is a PBE calculation of a relaxed CeY2Ga6 crystal, from Alexandria.

```
CeY2Ga6
1.0
7.3397 0.0000 0.0000
-3.6699 6.3564 0.0000
0.0000 0.0000 4.1410
Ce Y Ga
1 2 6
Cartesian
0.0000 0.0000 0.0000
0.0000 4.2376 0.0000
3.6699 2.1188 0.0000
-1.2250 2.1218 2.0705
-2.4449 4.2346 2.0705
2.4500 0.0000 2.0705
1.2250 2.1218 2.0705
4.8897 0.0000 2.0705
2.4449 4.2346 2.0705
```

Output
The value obtained for the density of states at the Fermi level is 9.85 states/eV/cell.


Stability, lowest: entry 1


Entry 1
The following is a PBE calculation of a relaxed CeZn3Ga crystal, from Alexandria.

```
CeZn3Ga
1.0
-2.1273 2.1273 5.2272
2.1273 -2.1273 5.2272
2.1273 2.1273 -5.2272
Ce Zn Ga
1 3 1
Cartesian
0.0000 0.0000 0.0000
2.1273 0.0000 2.6211
0.0000 0.0000 6.4916
0.0000 2.1273 2.6211
0.0000 0.0000 4.0598
```

Output
The value obtained for the density of states at the Fermi level is 6.33 states/eV/cell.


Entry 2
The following is a PBE calculation of a relaxed CeZn3Ga crystal, from Alexandria.

```
CeZn3Ga
1.0
8.2176 0.0000 0.0000
0.0000 4.3061 0.0000
0.0000 0.0000 10.8507
Ce Zn Ga
4 12 4
Cartesian
1.6597 1.0765 0.0006
2.4492 3.2296 5.4259
5.7685 1.0765 5.4248
6.5580 3.2296 10.8501
0.7489 1.0765 4.0232
0.8815 3.2296 2.1333
0.9194 3.2296 8.7244
3.1894 1.0765 3.2991
3.2274 1.0765 7.5587
3.3599 3.2296 9.4485
4.8578 1.0765 1.4022
4.9903 3.2296 3.2920
5.0283 3.2296 7.5516
7.2982 1.0765 2.1263
7.3362 1.0765 8.7173
7.4687 3.2296 6.8275
0.7548 1.0765 6.7643
3.3540 3.2296 1.3390
4.8636 1.0765 9.5117
7.4629 3.2296 4.0864
```

Output
The value obtained for the density of states at the Fermi level is 19.53 states/eV/cell.


Stability, lowest: entry 2


Entry 1
The following is a PBE calculation of a relaxed CeZn3Ga3 crystal, from Alexandria.

```
CeZn3Ga3
1.0
0.0000 5.8658 5.8658
5.8658 0.0000 5.8658
5.8658 5.8658 0.0000
Ce Zn Ga
2 6 6
Cartesian
2.9329 2.9329 2.9329
8.7987 8.7987 8.7987
5.8658 5.8658 1.7716
5.8658 1.7716 5.8658
9.9600 5.8658 5.8658
1.7716 5.8658 5.8658
5.8658 9.9600 5.8658
5.8658 5.8658 9.9600
5.8658 5.8658 4.0379
5.8658 4.0379 5.8658
7.6937 5.8658 5.8658
4.0379 5.8658 5.8658
5.8658 7.6937 5.8658
5.8658 5.8658 7.6937
```

Output
The value obtained for the density of states at the Fermi level is 29.91 states/eV/cell.


Entry 2
The following is a PBE calculation of a relaxed CeZn3Ga3 crystal, from Alexandria.

```
CeZn3Ga3
1.0
3.6673 2.1173 5.5891
-3.6673 2.1173 5.5891
0.0000 -4.2346 5.5891
Ce Zn Ga
2 6 6
Cartesian
0.0000 0.0000 2.1269
0.0000 0.0000 14.6403
-1.3790 -0.7961 7.3623
0.0000 -1.5923 9.4048
-1.3790 0.7961 9.4048
1.3790 -0.7961 7.3623
0.0000 1.5923 7.3623
1.3790 0.7961 9.4049
0.0000 -1.6481 5.1141
-1.4273 0.8240 5.1141
-1.4273 -0.8240 11.6530
1.4273 0.8240 5.1141
1.4273 -0.8240 11.6530
0.0000 1.6481 11.6530
```

Output
The value obtained for the density of states at the Fermi level is 15.75 states/eV/cell.


Stability, lowest: entry 1


Entry 1
The following is a PBE calculation of a relaxed Ce2Zn2Ga3 crystal, from Alexandria.

```
Ce2Zn2Ga3
1.0
5.2271 -2.1969 0.0000
5.2271 2.1969 0.0000
-2.3572 0.0000 6.1986
Ce Zn Ga
2 2 3
Cartesian
0.9672 0.0000 1.7132
7.1298 0.0000 4.4854
-0.2100 0.0000 4.7217
8.3070 0.0000 1.4769
4.0575 0.0000 0.4495
4.0485 0.0000 3.0993
4.0395 0.0000 5.7492
```

Output
The value obtained for the density of states at the Fermi level is 9.71 states/eV/cell.


Entry 2
The following is a PBE calculation of a relaxed Ce2Zn2Ga3 crystal, from Alexandria.

```
Ce2Zn2Ga3
1.0
2.2180 -9.3972 0.0000
2.2180 9.3972 0.0000
0.0000 0.0000 6.9679
Ce Zn Ga
4 4 6
Cartesian
2.2180 8.4933 5.2260
2.2180 6.4048 1.7420
2.2180 -6.4048 5.2260
2.2180 -8.4933 1.7420
2.2180 3.4557 0.4469
2.2180 3.4557 3.0371
2.2180 -3.4557 3.9309
2.2180 -3.4557 6.5211
2.2180 5.2016 5.2260
2.2180 1.1326 3.9808
2.2180 1.1326 6.4712
2.2180 -1.1326 0.4968
2.2180 -1.1326 2.9872
2.2180 -5.2016 1.7420
```

Output
The value obtained for the density of states at the Fermi level is 21.27 states/eV/cell.


Stability, lowest: entry 1


Entry 1
The following is a PBE calculation of a relaxed CeZr2Ga crystal, from Alexandria.

```
CeZr2Ga
1.0
1.6527 0.9542 9.6689
-1.6527 0.9542 9.6689
0.0000 -1.9083 9.6689
Ce Zr Ga
1 2 1
Cartesian
0.0000 0.0000 0.0000
0.0000 0.0000 7.0506
0.0000 0.0000 21.9561
0.0000 0.0000 14.5033
```

Output
The value obtained for the density of states at the Fermi level is 6.32 states/eV/cell.


Entry 2
The following is a PBE calculation of a relaxed CeZr2Ga crystal, from Alexandria.

```
CeZr2Ga
1.0
2.5216 1.4558 4.0965
-2.5216 1.4558 4.0965
0.0000 -2.9116 4.0965
Ce Zr Ga
1 2 1
Cartesian
0.0000 0.0000 0.0000
0.0000 0.0000 6.1672
0.0000 0.0000 9.2541
0.0000 0.0000 3.0836
```

Output
The value obtained for the density of states at the Fermi level is 7.06 states/eV/cell.


Stability, lowest: entry 1


Entry 1
The following is a PBE calculation of a relaxed CeZr2Ga crystal, from Alexandria.

```
CeZr2Ga
1.0
3.5573 0.0000 0.0000
0.0000 3.5573 0.0000
0.0000 0.0000 6.9476
Ce Zr Ga
1 2 1
Cartesian
0.0000 0.0000 0.0000
1.7787 1.7787 1.9690
1.7787 1.7787 4.9786
0.0000 0.0000 3.4738
```

Output
The value obtained for the density of states at the Fermi level is 5.79 states/eV/cell.


Entry 2
The following is a PBE calculation of a relaxed CeZr2Ga crystal, from Alexandria.

```
CeZr2Ga
1.0
4.5714 0.0000 0.0000
0.0000 4.5714 0.0000
0.0000 0.0000 4.1788
Ce Zr Ga
1 2 1
Cartesian
0.0000 0.0000 0.0000
0.0000 2.2857 2.0894
2.2857 0.0000 2.0894
2.2857 2.2857 0.0000
```

Output
The value obtained for the density of states at the Fermi level is 6.00 states/eV/cell.


Stability, lowest: entry 1


Entry 1
The following is a PBE calculation of a relaxed CeZr2Ga6 crystal, from Alexandria.

```
CeZr2Ga6
1.0
7.2616 0.0000 0.0000
-3.6308 6.2888 0.0000
0.0000 0.0000 3.8019
Ce Zr Ga
1 2 6
Cartesian
0.0000 0.0000 0.0000
0.0000 4.1925 0.0000
3.6308 2.0962 0.0000
-1.2231 2.1185 1.9010
-2.4077 4.1702 1.9010
2.4463 0.0000 1.9010
1.2231 2.1185 1.9010
4.8154 0.0000 1.9010
2.4077 4.1702 1.9010
```

Output
The value obtained for the density of states at the Fermi level is 7.82 states/eV/cell.


Entry 2
The following is a PBE calculation of a relaxed CeZr2Ga6 crystal, from Alexandria.

```
CeZr2Ga6
1.0
-2.0997 3.4725 6.3810
2.0997 -3.4725 6.3810
2.0997 3.4725 -6.3810
Ce Zr Ga
1 2 6
Cartesian
0.0000 0.0000 0.0000
2.0997 0.0000 4.8410
0.0000 3.4725 1.5400
2.0997 1.4443 -2.4277
2.0997 2.2142 0.0000
2.0997 1.4443 2.4277
0.0000 2.0282 3.9533
0.0000 1.2583 6.3810
0.0000 2.0282 8.8087
```

Output
The value obtained for the density of states at the Fermi level is 10.37 states/eV/cell.


Stability, lowest: entry 2


Entry 1
The following is a PBE calculation of a relaxed CeZrGa crystal, from Alexandria.

```
CeZrGa
1.0
-1.9183 1.9183 4.6377
1.9183 -1.9183 4.6377
1.9183 1.9183 -4.6377
Ce Zr Ga
1 1 1
Cartesian
0.0000 0.0000 0.0000
0.0000 0.0000 2.6751
0.0000 0.0000 6.1662
```

Output
The value obtained for the density of states at the Fermi level is 4.38 states/eV/cell.


Entry 2
The following is a PBE calculation of a relaxed CeZrGa crystal, from Alexandria.

```
CeZrGa
1.0
7.7965 0.0000 0.0000
0.0000 4.3327 0.0000
0.0000 0.0000 8.5072
Ce Zr Ga
4 4 4
Cartesian
0.1939 1.0832 1.3769
3.7044 3.2495 5.6305
4.0921 1.0832 2.8767
7.6026 3.2495 7.1303
1.0359 1.0832 4.6741
2.8624 3.2495 0.4205
4.9342 1.0832 8.0866
6.7606 3.2495 3.8331
1.7850 3.2495 3.0504
2.1132 1.0832 7.3040
5.6833 3.2495 1.2032
6.0115 1.0832 5.4568
```

Output
The value obtained for the density of states at the Fermi level is 24.54 states/eV/cell.


Stability, lowest: entry 1